# 1
Density functional theory data (GGA-PBE) for RbSi2Ni after structural relaxation.

The value obtained for the density of states at the Fermi level is 8.182 states/eV per cell. As for the total magnetic moment: 0.00 Bohr magnetons per cell. For the energy relative to the elements, uncorrected, the calculation gives 111 meV per atom. As for the energy above the lowest structure with this stoichiometry: 0 meV/atom. For the total DFT energy (no corrections), the calculation gives -4.288 eV/atom.

It has space group I4_1/amd (No. 141, origin choice 2), with a = 5.4614 Å, b = 5.4614 Å, c = 13.7712 Å, α = 90.00°, β = 90.00° and γ = 90.00°. Symmetry generates all atoms from Rb at (0.0000, 0.2500, 0.3750), Si at (0.0000, 0.0000, 0.0000) and Ni at (0.0000, 0.2500, 0.8750).

=====

# 2
Density functional theory data (GGA-PBE) for Rb3SiNi after structural relaxation.

The value obtained for the density of states at the Fermi level is 5.206 states/eV per cell. As for the total magnetic moment: 3.00 Bohr magnetons per cell. For the energy relative to the elements, uncorrected, the calculation gives 859 meV per atom. For the total DFT energy (no corrections), the calculation gives -1.963 eV/atom.

It has space group Pm-3m (No. 221), with a = 6.2464 Å, b = 6.2464 Å, c = 6.2464 Å, α = 90.00°, β = 90.00° and γ = 90.00°. Symmetry generates all atoms from Rb at (0.0000, 0.0000, 0.5000), Si at (0.5000, 0.5000, 0.5000) and Ni at (0.0000, 0.0000, 0.0000).